This record from Alexandria via LeMat-Bulk describes Al2InNiPt after structural relaxation. The functional is GGA-PBE.

## Properties
Total magnetic moment: 0.67 Bohr magnetons per cell
E_form: 106 meV/atom

abc: 4.7002 4.7002 4.9247
angles: 90.00 90.00 90.00
Closest atoms and distances in Å follow each position.
Space group P4/mmm (No. 123)
One atom of each set of equivalent atoms:
Al1 0.0000 0.5000 0.0000 [2 per cell]  2 Pt 2.35
In1 0.0000 0.0000 0.5000 [1 per cell]  4 Ni 3.32, 8 Al 3.40
Ni1 0.5000 0.5000 0.5000 [1 per cell]  2 Pt 2.46
Pt1 0.5000 0.5000 0.0000 [1 per cell]  4 Al 2.35, 2 Ni 2.46